1.
Density functional theory data (PBE-GGA) for a relaxed structure of PuNiSnRh.

Computed properties:
Calculated total energy = -8.20 eV per atom
ΔH_f (0 K) = -0.333 eV per atom

a = 4.6948 Å, b = 4.6948 Å, c = 4.6948 Å
α = 60.00°, β = 60.00°, γ = 60.00°
Last column: nearest neighbours and their distance in Å.
Positions (direct):
Pu 0.0000 0.0000 0.0000  4 Ni 2.87, 4 Rh 2.87
Ni 0.7500 0.7500 0.7500  4 Sn 2.87, 4 Pu 2.87
Sn 0.5000 0.5000 0.5000  4 Ni 2.87, 4 Rh 2.87
Rh 0.2500 0.2500 0.2500  4 Sn 2.87, 4 Pu 2.87

=====

2.
Density functional theory data (PBE-GGA) for a relaxed structure of PuTlNiRh.

Computed properties:
Calculated total energy = -7.55 eV per atom
ΔH_f (0 K) = -0.095 eV per atom

a = 4.7348 Å, b = 4.7348 Å, c = 4.7348 Å
α = 60.00°, β = 60.00°, γ = 60.00°
Last column: nearest neighbours and their distance in Å.
Positions (direct):
Pu 0.0000 0.0000 0.0000  4 Rh 2.90, 4 Ni 2.90
Tl 0.5000 0.5000 0.5000  4 Rh 2.90, 4 Ni 2.90
Ni 0.2500 0.2500 0.2500  4 Tl 2.90, 4 Pu 2.90
Rh 0.7500 0.7500 0.7500  4 Tl 2.90, 4 Pu 2.90

=====

3.
Density functional theory data (PBE-GGA) for a relaxed structure of PuUNiRh.

Computed properties:
Calculated total energy = -10.13 eV per atom
ΔH_f (0 K) = -0.444 eV per atom

a = 4.5563 Å, b = 4.5563 Å, c = 4.5563 Å
α = 60.00°, β = 60.00°, γ = 60.00°
Last column: nearest neighbours and their distance in Å.
Positions (direct):
Pu 0.0000 0.0000 0.0000  4 U 2.79, 4 Ni 2.79
U 0.7500 0.7500 0.7500  4 Rh 2.79, 4 Pu 2.79
Ni 0.2500 0.2500 0.2500  4 Rh 2.79, 4 Pu 2.79
Rh 0.5000 0.5000 0.5000  4 Ni 2.79, 4 U 2.79

=====

4.
Density functional theory data (PBE-GGA) for a relaxed structure of YPuNiRh.

Computed properties:
Calculated total energy = -8.86 eV per atom
ΔH_f (0 K) = -0.378 eV per atom

a = 4.8303 Å, b = 4.8303 Å, c = 4.8303 Å
α = 60.00°, β = 60.00°, γ = 60.00°
Last column: nearest neighbours and their distance in Å.
Positions (direct):
Y 0.0000 0.0000 0.0000  4 Ni 2.96, 4 Rh 2.96
Pu 0.5000 0.5000 0.5000  4 Ni 2.96, 4 Rh 2.96
Ni 0.7500 0.7500 0.7500  4 Y 2.96, 4 Pu 2.96
Rh 0.2500 0.2500 0.2500  4 Pu 2.96, 4 Y 2.96

=====

5.
Density functional theory data (PBE-GGA) for a relaxed structure of PuZnNiRh.

Computed properties:
Calculated total energy = -7.43 eV per atom
ΔH_f (0 K) = -0.247 eV per atom

a = 4.5423 Å, b = 4.5423 Å, c = 4.5423 Å
α = 60.00°, β = 60.00°, γ = 60.00°
Last column: nearest neighbours and their distance in Å.
Positions (direct):
Pu 0.0000 0.0000 0.0000  4 Ni 2.78, 4 Rh 2.78
Zn 0.5000 0.5000 0.5000  4 Ni 2.78, 4 Rh 2.78
Ni 0.7500 0.7500 0.7500  4 Pu 2.78, 4 Zn 2.78
Rh 0.2500 0.2500 0.2500  4 Pu 2.78, 4 Zn 2.78

=====

6.
Density functional theory data (PBE-GGA) for a relaxed structure of Pu6NiRu5.

Computed properties:
Calculated total energy = -11.64 eV per atom
ΔH_f (0 K) = -0.129 eV per atom

a = 8.2889 Å, b = 8.2889 Å, c = 4.8243 Å
α = 106.73°, β = 106.73°, γ = 47.24°
Last column: nearest neighbours and their distance in Å.
Positions (direct):
Pu 0.0819 0.5877 0.3346  1 Ni 2.89, 7 Ru 2.90-2.95
Pu 0.2447 0.7553 0.0000  2 Ni 2.91, 6 Ru 2.92-2.95, 1 Pu 3.25
Pu 0.4123 0.9181 0.6654  1 Ni 2.89, 7 Ru 2.90-2.95
Pu 0.5877 0.0819 0.3346  1 Ni 2.89, 7 Ru 2.90-2.95
Pu 0.7553 0.2447 0.0000  2 Ni 2.91, 6 Ru 2.92-2.95, 1 Pu 3.25
Pu 0.9181 0.4123 0.6654  1 Ni 2.89, 7 Ru 2.90-2.95
Ni 0.0000 0.0000 0.5000  8 Pu 2.89-2.91
Ru 0.1710 0.1710 0.1708  8 Pu 2.90-2.95
Ru 0.3348 0.3348 0.8343  8 Pu 2.92-2.95
Ru 0.5000 0.5000 0.5000  8 Pu 2.92-2.95
Ru 0.6652 0.6652 0.1657  8 Pu 2.92-2.95
Ru 0.8290 0.8290 0.8292  8 Pu 2.90-2.95

=====

7.
Density functional theory data (PBE-GGA) for a relaxed structure of Pu12NiRu6.

Computed properties:
Calculated total energy = -12.32 eV per atom
ΔH_f (0 K) = -0.038 eV per atom

a = 7.2321 Å, b = 7.2321 Å, c = 7.2321 Å
α = 96.02°, β = 96.02°, γ = 96.02°
Last column: nearest neighbours and their distance in Å.
Positions (direct):
Pu 0.0242 0.3268 0.8966  2 Pu 2.58-2.85, 1 Ru 2.74
Pu 0.1029 0.3420 0.4122  1 Pu 2.58, 1 Ru 2.87
Pu 0.1034 0.9758 0.6732  2 Pu 2.58-2.85, 1 Ru 2.74
Pu 0.3268 0.8966 0.0242  2 Pu 2.58-2.85, 1 Ru 2.74
Pu 0.3420 0.4122 0.1029  1 Pu 2.58, 1 Ru 2.87
Pu 0.4122 0.1029 0.3420  1 Pu 2.58, 1 Ru 2.87
Pu 0.5878 0.8971 0.6580  1 Pu 2.58, 1 Ru 2.87
Pu 0.6580 0.5878 0.8971  1 Pu 2.58, 1 Ru 2.87
Pu 0.6732 0.1034 0.9758  2 Pu 2.58-2.85, 1 Ru 2.74
Pu 0.8966 0.0242 0.3268  2 Pu 2.58-2.85, 1 Ru 2.74
Pu 0.8971 0.6580 0.5878  1 Pu 2.58, 1 Ru 2.87
Pu 0.9758 0.6732 0.1034  2 Pu 2.58-2.85, 1 Ru 2.74
Ni 0.5000 0.5000 0.5000  6 Ru 2.67, 6 Pu 2.96
Ru 0.2573 0.7332 0.3942  1 Ni 2.67, 5 Pu 2.74-2.96, 2 Ru 2.77
Ru 0.2668 0.6058 0.7427  1 Ni 2.67, 5 Pu 2.74-2.96, 2 Ru 2.77
Ru 0.3942 0.2573 0.7332  1 Ni 2.67, 5 Pu 2.74-2.96, 2 Ru 2.77
Ru 0.6058 0.7427 0.2668  1 Ni 2.67, 5 Pu 2.74-2.96, 2 Ru 2.77
Ru 0.7332 0.3942 0.2573  1 Ni 2.67, 5 Pu 2.74-2.96, 2 Ru 2.77
Ru 0.7427 0.2668 0.6058  1 Ni 2.67, 5 Pu 2.74-2.96, 2 Ru 2.77

=====

8.
Density functional theory data (PBE-GGA) for a relaxed structure of Pu8NiRu5.

Computed properties:
Calculated total energy = -11.99 eV per atom
ΔH_f (0 K) = -0.075 eV per atom

a = 7.2620 Å, b = 7.2620 Å, c = 7.2620 Å
α = 108.96°, β = 108.96°, γ = 110.50°
Last column: nearest neighbours and their distance in Å.
Positions (direct):
Pu 0.0087 0.6219 0.7460  4 Ru 2.73-3.04, 1 Ni 2.80
Pu 0.2369 0.4866 0.1135  5 Ru 2.76-3.10, 1 Ni 3.01
Pu 0.3731 0.1234 0.8865  5 Ru 2.76-3.10, 1 Ni 3.01
Pu 0.3781 0.1241 0.3868  4 Ru 2.73-3.04, 1 Ni 2.80
Pu 0.5134 0.6269 0.7503  5 Ru 2.76-3.10, 1 Ni 3.01
Pu 0.7373 0.9913 0.6132  4 Ru 2.73-3.04, 1 Ni 2.80
Pu 0.8759 0.2627 0.2540  4 Ru 2.73-3.04, 1 Ni 2.80
Pu 0.8766 0.7631 0.2497  5 Ru 2.76-3.10, 1 Ni 3.01
Ni 0.0000 0.0000 0.0000  8 Pu 2.80-3.01
Ru 0.1239 0.2419 0.6207  6 Pu 2.73-3.04
Ru 0.2500 0.7500 0.5000  8 Pu 2.78-3.02
Ru 0.4968 0.8761 0.1180  6 Pu 2.73-3.04
Ru 0.6213 0.5032 0.3793  6 Pu 2.73-3.04
Ru 0.7581 0.3787 0.8820  6 Pu 2.73-3.04

=====

9.
Density functional theory data (PBE-GGA) for a relaxed structure of Pu2NiRu.

Computed properties:
Calculated total energy = -11.03 eV per atom
ΔH_f (0 K) = -0.104 eV per atom

a = 3.2967 Å, b = 3.2967 Å, c = 7.0130 Å
α = 90.00°, β = 90.00°, γ = 90.00°
Last column: nearest neighbours and their distance in Å.
Positions (direct):
Pu 0.0000 0.0000 0.2473  4 Ni 2.91, 4 Ru 2.93
Pu 0.0000 0.0000 0.7527  4 Ni 2.91, 4 Ru 2.93
Ni 0.5000 0.5000 0.0000  8 Pu 2.91
Ru 0.5000 0.5000 0.5000  8 Pu 2.93

=====

10.
Density functional theory data (PBE-GGA) for a relaxed structure of Pu2Ni3Ru.

Computed properties:
Calculated total energy = -9.47 eV per atom
ΔH_f (0 K) = -0.254 eV per atom

a = 5.0140 Å, b = 5.0140 Å, c = 5.2031 Å
α = 118.78°, β = 118.78°, γ = 60.16°
Last column: nearest neighbours and their distance in Å.
Positions (direct):
Pu 0.1257 0.1257 0.3775  3 Ru 2.94-2.95, 9 Ni 2.99-3.06, 4 Pu 3.08-3.26
Pu 0.8743 0.8743 0.6225  3 Ru 2.94-2.95, 9 Ni 2.99-3.06, 4 Pu 3.08-3.26
Ni 0.0000 0.5000 0.0000  4 Ni 2.51, 2 Ru 2.60
Ni 0.5000 0.0000 0.0000  4 Ni 2.51, 2 Ru 2.60
Ni 0.5000 0.5000 0.0000  4 Ni 2.51, 2 Ru 2.60
Ru 0.5000 0.5000 0.5000  6 Ni 2.60

=====

11.
Density functional theory data (PBE-GGA) for a relaxed structure of Pu2NiRu4.

Computed properties:
Calculated total energy = -10.26 eV per atom
ΔH_f (0 K) = -0.037 eV per atom

a = 5.3603 Å, b = 5.3603 Å, c = 9.4175 Å
α = 90.00°, β = 90.00°, γ = 120.43°
Last column: nearest neighbours and their distance in Å.
Positions (direct):
Pu 0.1566 0.8434 0.9721  2 Ru 2.54-2.63
Pu 0.3434 0.6566 0.4721  2 Ru 2.54-2.63
Pu 0.6566 0.3434 0.5279  2 Ru 2.54-2.63
Pu 0.8434 0.1566 0.0279  2 Ru 2.54-2.63
Ni 0.0000 0.0000 0.5000  6 Ru 2.58-2.77
Ni 0.5000 0.5000 0.0000  6 Ru 2.58-2.77
Ru 0.1840 0.3160 0.7500  6 Ru 2.66-2.73, 2 Ni 2.77
Ru 0.1852 0.8148 0.7034  2 Pu 2.54-2.63, 1 Ni 2.58, 6 Ru 2.71-2.80
Ru 0.3148 0.6852 0.2034  2 Pu 2.54-2.63, 1 Ni 2.58, 6 Ru 2.71-2.80
Ru 0.3160 0.1840 0.2500  6 Ru 2.66-2.73, 2 Ni 2.77
Ru 0.6840 0.8160 0.7500  6 Ru 2.66-2.73, 2 Ni 2.77
Ru 0.6852 0.3148 0.7966  2 Pu 2.54-2.63, 1 Ni 2.58, 6 Ru 2.71-2.80
Ru 0.8148 0.1852 0.2966  2 Pu 2.54-2.63, 1 Ni 2.58, 6 Ru 2.71-2.80
Ru 0.8160 0.6840 0.2500  6 Ru 2.66-2.73, 2 Ni 2.77

=====

12.
Density functional theory data (PBE-GGA) for a relaxed structure of Pu3NiRu2.

Computed properties:
Calculated total energy = -11.34 eV per atom
ΔH_f (0 K) = -0.117 eV per atom

a = 7.6660 Å, b = 7.6660 Å, c = 3.2447 Å
α = 90.00°, β = 90.00°, γ = 143.01°
Last column: nearest neighbours and their distance in Å.
Positions (direct):
Pu 0.0000 0.0000 0.0000  4 Ni 2.92, 4 Ru 2.97, 2 Pu 3.24
Pu 0.3359 0.6641 0.0000  2 Ni 2.88, 6 Ru 2.90-2.92
Pu 0.6641 0.3359 0.0000  2 Ni 2.88, 6 Ru 2.90-2.92
Ni 0.5000 0.5000 0.5000  8 Pu 2.88-2.92
Ru 0.1708 0.8292 0.5000  8 Pu 2.90-2.97, 2 Ru 3.24
Ru 0.8292 0.1708 0.5000  8 Pu 2.90-2.97, 2 Ru 3.24